Material: CuSi2AgTe6
Method: DFT, PBE-GGA
State: optimized geometry Values from VASP.

The structure in Quantum ESPRESSO input format:
```
&SYSTEM
  ibrav = 0, nat = 20, ntyp = 4
/
ATOMIC_SPECIES
Cu 63.55 Cu.upf
Si 28.09 Si.upf
Ag 107.87 Ag.upf
Te 127.60 Te.upf
ATOMIC_POSITIONS angstrom
Cu 4.013 1.697 7.838
Cu 7.266 7.892 2.113
Si 5.102 7.523 6.126
Si 2.923 3.624 2.080
Si 6.176 2.066 3.825
Si 8.356 5.965 7.871
Ag 4.013 7.792 1.965
Ag 7.266 1.796 7.986
Te 5.061 9.256 8.013
Te 2.965 1.803 0.278
Te 6.218 0.332 1.938
Te 8.314 7.786 9.673
Te 5.721 8.756 3.971
Te 2.305 5.823 0.928
Te 5.558 0.833 5.980
Te 8.974 3.766 9.023
Te 9.335 6.859 5.695
Te 5.197 4.274 3.012
Te 1.944 2.730 4.256
Te 6.082 5.315 6.939
CELL_PARAMETERS angstrom
6.506 0.243 0.253
2.386 9.852 -0.142
2.386 -0.507 9.840
```

Results
VASP energy   -3.613 eV/atom
Space-group type   No. 15
N(E_F)   6.64 states/eV/f.u.
Formation energy from raw total energies   51.2 meV per atom



Material: TlCu2SiAg
Method: DFT, PBE-GGA
State: optimized geometry Values from VASP.

The structure in Quantum ESPRESSO input format:
```
&SYSTEM
  ibrav = 0, nat = 5, ntyp = 4
/
ATOMIC_SPECIES
Tl 204.38 Tl.upf
Si 28.09 Si.upf
Cu 63.55 Cu.upf
Ag 107.87 Ag.upf
ATOMIC_POSITIONS angstrom
Tl 0.000 0.000 2.702
Si 0.000 0.000 0.000
Cu 0.000 2.230 0.000
Cu 2.230 0.000 0.000
Ag 2.230 2.230 2.702
CELL_PARAMETERS angstrom
4.461 0.000 0.000
0.000 4.461 0.000
0.000 0.000 5.404
```

Results
VASP energy   -3.252 eV/atom
Space-group type   No. 123
N(E_F)   1.45 states/eV/f.u.
Formation energy from raw total energies   514.7 meV per atom



Material: V2CuSiAg
Method: DFT, PBE-GGA
State: optimized geometry Values from VASP.

The structure in Quantum ESPRESSO input format:
```
&SYSTEM
  ibrav = 0, nat = 5, ntyp = 4
/
ATOMIC_SPECIES
Si 28.09 Si.upf
Cu 63.55 Cu.upf
Ag 107.87 Ag.upf
V 50.94 V.upf
ATOMIC_POSITIONS angstrom
Si 0.000 0.000 0.000
Cu -0.835 -1.822 -0.742
Ag -3.645 -0.396 -1.081
V -1.797 0.291 1.307
V -1.013 1.135 -1.646
CELL_PARAMETERS angstrom
-2.026 2.269 -3.292
-1.669 -3.643 -1.484
-3.595 0.582 2.614
```

Results
VASP energy   -5.366 eV/atom
Space-group type   No. 123
N(E_F)   5.36 states/eV/f.u.
Formation energy from raw total energies   755.1 meV per atom



Material: Sm12CuAg6
Method: DFT, PBE-GGA
State: optimized geometry Values from VASP.

The structure in Quantum ESPRESSO input format:
```
&SYSTEM
  ibrav = 0, nat = 19, ntyp = 3
/
ATOMIC_SPECIES
Sm 150.36 Sm.upf
Cu 63.55 Cu.upf
Ag 107.87 Ag.upf
ATOMIC_POSITIONS angstrom
Sm 5.854 4.535 4.649
Sm 2.833 6.357 5.293
Sm 3.595 3.418 7.201
Sm 0.989 3.438 4.902
Sm 4.010 1.616 4.259
Sm 3.248 4.555 2.351
Sm -0.246 0.880 2.924
Sm 5.936 5.076 9.137
Sm 4.117 7.804 8.163
Sm 7.089 7.093 6.627
Sm 0.907 2.897 0.415
Sm 2.726 0.169 1.388
Cu 0.000 0.000 0.000
Ag 5.152 7.419 3.343
Ag 5.684 2.583 1.654
Ag 0.291 5.795 2.837
Ag 1.692 0.554 6.208
Ag 1.160 5.390 7.897
Ag 6.552 2.178 6.714
CELL_PARAMETERS angstrom
7.979 0.649 0.778
-0.568 7.985 0.778
-0.568 -0.661 7.995
```

Results
ΔH_f (0 K)   -0.047 eV/atom
VASP energy   -4.144 eV/atom
Space-group type   No. 148
N(E_F)   22.60 states/eV/f.u.